No. 1
VASP calculation (PBE) on a relaxed structure of ThSbIr2.

```
4
Lattice="4.468 0.000 0.000 2.234 3.869 0.000 2.234 1.290 4.969" Properties=species:S:1:pos:R:3 pbc="T T T"
Ir 6.702 3.869 3.200
Ir 2.234 1.290 1.769
Sb 4.468 2.580 2.484
Th 0.000 0.000 0.000
```

Output
crystal system	trigonal
SG	R-3m, No. 166
final energy	-31.5	eV/cell
volume	21.48	Å³ per atom
formation energy (no corrections)	-565	meV/atom

***

No. 2
VASP calculation (PBE) on a relaxed structure of TiZnCdO4.

```
14
Lattice="5.584 0.045 0.000 -2.201 5.132 0.000 0.000 0.000 6.527" Properties=species:S:1:pos:R:3 pbc="T T T"
Ti 4.477 0.769 1.632
Ti -1.094 4.409 4.896
O 3.639 1.317 0.104
O -0.256 3.861 3.368
O 0.852 1.122 4.896
O 3.639 1.317 3.159
O 2.698 3.947 4.896
O 2.531 4.056 1.632
O 0.685 1.231 1.632
O -0.256 3.861 6.423
Zn -0.976 4.332 1.632
Zn 4.359 0.846 4.896
Cd 1.691 2.589 3.264
Cd 1.691 2.589 0.000
```

Output
crystal system	orthorhombic
SG	Cmcm, No. 63
final energy	-87.4	eV/cell
volume	13.41	Å³ per atom
formation energy (no corrections)	-1968	meV/atom